No. 1
DFT (PBE-GGA) results for LaHo6Tm2Sc3 after structural relaxation.

Unit cell a=6.0316 b=6.0316 c=11.4646 alpha=95.03 beta=95.03 gamma=120.00
Atoms (fractional coordinates):
Sc1 0.8330 0.1670 0.5000
Tm1 0.3334 0.6666 0.0000
Ho1 0.4215 0.0869 0.2603
Ho2 0.0869 0.4215 0.2603
Sc2 0.5000 0.5000 0.5000
La1 0.0000 0.0000 0.0000
Tm2 0.6666 0.3334 0.0000
Ho3 0.7522 0.7522 0.2606
Ho4 0.9131 0.5785 0.7397
Sc3 0.1670 0.8330 0.5000
Ho5 0.5785 0.9131 0.7397
Ho6 0.2478 0.2478 0.7394

Summary:
DFT formation energy = 0.05 eV per atom
magnetization = 0.000 μB per formula unit

=====

No. 2
DFT (PBE-GGA) results for La3Ho6Tm2Sc after structural relaxation.

Unit cell a=6.1580 b=6.1580 c=11.7539 alpha=95.02 beta=95.02 gamma=120.02
Atoms (fractional coordinates):
Ho1 0.9205 0.5895 0.7595
La1 0.1667 0.8333 0.5000
Sc1 0.0000 0.0000 0.0000
La2 0.5000 0.5000 0.5000
Ho2 0.4105 0.0795 0.2405
Tm1 0.3335 0.6665 0.0000
Ho3 0.7486 0.7486 0.2406
Ho4 0.2514 0.2514 0.7594
Ho5 0.0795 0.4105 0.2405
La3 0.8333 0.1667 0.5000
Ho6 0.5895 0.9205 0.7595
Tm2 0.6665 0.3335 0.0000

Summary:
DFT formation energy = 0.04 eV per atom
magnetization = 0.000 μB per formula unit

=====

No. 3
DFT (PBE-GGA) results for La2Y5HoSc after structural relaxation.

Unit cell a=5.5991 b=10.5026 c=10.4264 alpha=90.00 beta=90.00 gamma=105.46
Atoms (fractional coordinates):
Ho1 0.5935 0.1869 0.9591
Y1 0.7280 0.4559 0.8274
Y2 0.6310 0.2620 0.5195
Ho2 0.4065 0.8131 0.4591
La1 0.8868 0.7736 0.8136
Y3 0.0148 0.0296 0.0150
Sc1 0.1937 0.3874 0.0152
Y4 0.3690 0.7380 0.0195
Y5 0.5159 0.0319 0.2406
Y6 0.2720 0.5441 0.3274
Y7 0.2966 0.5932 0.6985
La2 0.8835 0.7671 0.2352
Y8 0.9852 0.9704 0.5150
Sc2 0.8063 0.6126 0.5152
Y9 0.7034 0.4068 0.1985
La3 0.1165 0.2329 0.7352
La4 0.1132 0.2264 0.3136
Y10 0.4841 0.9681 0.7406

Summary:
DFT formation energy = 0.15 eV per atom
magnetization = 0.000 μB per formula unit

=====

No. 4
DFT (PBE-GGA) results for La3Y6HoSc2 after structural relaxation.

Unit cell a=6.1804 b=6.1804 c=11.7609 alpha=95.03 beta=95.03 gamma=120.03
Atoms (fractional coordinates):
La1 0.8331 0.1669 0.5000
Y1 0.2564 0.2564 0.7611
Y2 0.7436 0.7436 0.2389
Y3 0.0797 0.4157 0.2388
La2 0.1669 0.8331 0.5000
Y4 0.9203 0.5843 0.7612
Sc1 0.3332 0.6668 0.0000
Y5 0.5843 0.9203 0.7612
Y6 0.4157 0.0797 0.2388
Sc2 0.6668 0.3332 0.0000
Ho1 0.0000 0.0000 0.0000
La3 0.5000 0.5000 0.5000

Summary:
DFT formation energy = 0.05 eV per atom
magnetization = 0.000 μB per formula unit

=====

No. 5
DFT (PBE-GGA) results for La4Y2HoSc after structural relaxation.

Unit cell a=5.2257 b=5.2209 c=11.0811 alpha=61.88 beta=90.00 gamma=90.00
Atoms (fractional coordinates):
La1 0.5000 0.7449 0.2551
La2 0.0000 0.7549 0.7451
Ho1 0.5000 0.5000 0.0000
Y1 0.0000 0.0000 0.0000
Sc1 0.0000 0.5000 0.5000
Y2 0.5000 0.0000 0.5000
La3 0.5000 0.2551 0.7449
La4 0.0000 0.2451 0.2549

Summary:
DFT formation energy = 0.04 eV per atom
magnetization = 0.000 μB per formula unit

=====

No. 6
DFT (PBE-GGA) results for La2YHo5Sc after structural relaxation.

Unit cell a=5.5769 b=10.4040 c=10.4036 alpha=90.00 beta=90.00 gamma=105.55
Atoms (fractional coordinates):
Y1 0.4074 0.8148 0.4637
La1 0.1159 0.2318 0.7348
Sc1 0.1986 0.3972 0.0133
Ho1 0.0143 0.0287 0.0172
La2 0.8855 0.7710 0.8124
Ho2 0.2963 0.5925 0.7025
Y2 0.5926 0.1852 0.9637
Ho3 0.7037 0.4075 0.2025
Ho4 0.3755 0.7509 0.0193
Ho5 0.2756 0.5511 0.3183
Ho6 0.6245 0.2491 0.5193
La3 0.8841 0.7682 0.2348
Ho7 0.4841 0.9681 0.7427
Ho8 0.5159 0.0319 0.2427
Sc2 0.8014 0.6028 0.5133
Ho9 0.9857 0.9713 0.5172
La4 0.1145 0.2290 0.3124
Ho10 0.7244 0.4489 0.8183

Summary:
DFT formation energy = 0.16 eV per atom
magnetization = 0.001 μB per formula unit

=====

No. 7
DFT (PBE-GGA) results for La2Y4HoSc after structural relaxation.

Unit cell a=5.0803 b=5.0589 c=11.2874 alpha=63.39 beta=90.00 gamma=90.00
Atoms (fractional coordinates):
Y1 0.5000 0.2537 0.7464
La1 0.5000 0.0000 0.5000
Sc1 0.0000 0.5000 0.5000
Y2 0.0000 0.7547 0.7455
Y3 0.5000 0.7463 0.2536
La2 0.0000 0.0000 0.0000
Ho1 0.5000 0.5000 0.0000
Y4 0.0000 0.2453 0.2545

Summary:
DFT formation energy = 0.05 eV per atom
magnetization = 0.001 μB per formula unit

=====

No. 8
DFT (PBE-GGA) results for La3Y2Ho6Sc after structural relaxation.

Unit cell a=6.1818 b=6.1818 c=11.7980 alpha=95.02 beta=95.02 gamma=120.03
Atoms (fractional coordinates):
Ho1 0.2498 0.2498 0.7575
Ho2 0.9198 0.5898 0.7576
La1 0.8332 0.1668 0.5000
La2 0.5000 0.5000 0.5000
Ho3 0.5898 0.9198 0.7576
La3 0.1668 0.8332 0.5000
Sc1 0.0000 0.0000 0.0000
Ho4 0.4102 0.0802 0.2424
Y1 0.6664 0.3336 0.0000
Y2 0.3336 0.6664 0.0000
Ho5 0.7502 0.7502 0.2425
Ho6 0.0802 0.4102 0.2424

Summary:
DFT formation energy = 0.04 eV per atom
magnetization = 0.000 μB per formula unit

=====

No. 9
DFT (PBE-GGA) results for La6YHo2Sc after structural relaxation.

Unit cell a=8.8343 b=7.0661 c=6.7784 alpha=121.41 beta=102.49 gamma=90.00
Atoms (fractional coordinates):
La1 0.2032 0.5963 0.6836
La2 0.5995 0.3648 0.7296
La3 0.7968 0.9127 0.3164
Y1 0.5000 0.0000 0.0000
Ho1 0.8341 0.9032 0.8064
La4 0.7968 0.4037 0.3164
La5 0.4005 0.6352 0.2704
Ho2 0.1659 0.0968 0.1936
Sc1 0.0000 0.5000 0.0000
La6 0.2032 0.0873 0.6836

Summary:
DFT formation energy = 0.22 eV per atom
magnetization = 0.000 μB per formula unit

=====

No. 10
DFT (PBE-GGA) results for La2Y3Ho6Sc after structural relaxation.

Unit cell a=6.1495 b=6.1495 c=11.7866 alpha=94.97 beta=94.97 gamma=119.99
Atoms (fractional coordinates):
Ho1 0.5865 0.9162 0.7486
Ho2 0.0838 0.4135 0.2514
Ho3 0.7540 0.7540 0.2516
Ho4 0.9162 0.5865 0.7486
La1 0.6665 0.3335 0.0000
Y1 0.8338 0.1662 0.5000
Ho5 0.2460 0.2460 0.7484
Sc1 0.0000 0.0000 0.0000
La2 0.3335 0.6665 0.0000
Y2 0.1662 0.8338 0.5000
Y3 0.5000 0.5000 0.5000
Ho6 0.4135 0.0838 0.2514

Summary:
DFT formation energy = 0.03 eV per atom
magnetization = 0.000 μB per formula unit

=====

No. 11
DFT (PBE-GGA) results for LaYHo2Sc after structural relaxation.

Unit cell a=5.0289 b=7.8497 c=7.8873 alpha=89.34 beta=90.00 gamma=90.00
Atoms (fractional coordinates):
La1 0.2500 0.7424 0.2624
Y1 0.7500 0.0552 0.1534
Ho1 0.7500 0.8396 0.5543
La2 0.7500 0.2576 0.7376
Ho2 0.2500 0.3526 0.0459
Ho3 0.7500 0.6474 0.9541
Sc1 0.2500 0.5494 0.6523
Sc2 0.7500 0.4506 0.3477
Ho4 0.2500 0.1604 0.4457
Y2 0.2500 0.9448 0.8466

Summary:
DFT formation energy = 0.06 eV per atom
magnetization = 0.000 μB per formula unit

=====

No. 12
DFT (PBE-GGA) results for LaY2Ho4Sc after structural relaxation.

Unit cell a=12.2080 b=7.0661 c=12.1910 alpha=125.42 beta=131.64 gamma=89.92
Atoms (fractional coordinates):
La1 0.0000 0.5000 0.5000
Y1 0.5000 0.0000 0.0000
Ho1 0.2522 0.2507 0.4958
Sc1 0.0000 0.0000 0.0000
Ho2 0.2523 0.7414 0.4962
Ho3 0.7476 0.2368 0.9912
Ho4 0.7477 0.2585 0.5038
Y2 0.0000 0.0000 0.5000
La2 0.0000 0.5000 0.0000
Y3 0.5000 0.0000 0.5000
Ho5 0.7476 0.7462 0.9916
Sc2 0.5000 0.5000 0.5000
Ho6 0.2523 0.2538 0.0084
Ho7 0.2524 0.7632 0.0088
Y4 0.5000 0.5000 0.0000
Ho8 0.7478 0.7493 0.5042

Summary:
DFT formation energy = 0.04 eV per atom
magnetization = 0.000 μB per formula unit

=====

No. 13
DFT (PBE-GGA) results for La2Y6Ho3Sc after structural relaxation.

Unit cell a=6.1703 b=6.1703 c=11.8203 alpha=94.98 beta=94.98 gamma=120.01
Atoms (fractional coordinates):
Y1 0.9161 0.5865 0.7475
Y2 0.0839 0.4135 0.2525
Ho1 0.8338 0.1662 0.5000
Y3 0.4135 0.0839 0.2525
Y4 0.7541 0.7541 0.2529
La1 0.3338 0.6662 0.0000
Y5 0.2459 0.2459 0.7471
Ho2 0.5000 0.5000 0.5000
Ho3 0.1662 0.8338 0.5000
La2 0.6662 0.3338 0.0000
Sc1 0.0000 0.0000 0.0000
Y6 0.5865 0.9161 0.7475

Summary:
DFT formation energy = 0.03 eV per atom
magnetization = 0.000 μB per formula unit

=====

No. 14
DFT (PBE-GGA) results for LaY2HoSc4 after structural relaxation.

Unit cell a=4.9842 b=4.9801 c=10.4836 alpha=61.63 beta=90.00 gamma=90.00
Atoms (fractional coordinates):
Y1 0.0000 0.0000 0.0000
Sc1 0.0000 0.2462 0.2538
Y2 0.5000 0.0000 0.5000
Sc2 0.0000 0.7538 0.7462
Sc3 0.5000 0.2541 0.7460
Sc4 0.5000 0.7459 0.2540
La1 0.5000 0.5000 0.0000
Ho1 0.0000 0.5000 0.5000

Summary:
DFT formation energy = 0.07 eV per atom
magnetization = 0.000 μB per formula unit

=====

No. 15
DFT (PBE-GGA) results for La6Y2HoSc after structural relaxation.

Unit cell a=8.8686 b=7.1261 c=6.7643 alpha=121.79 beta=104.11 gamma=90.00
Atoms (fractional coordinates):
Ho1 0.0000 0.5000 0.0000
La1 0.7922 0.3982 0.3460
La2 0.7922 0.9478 0.3460
La3 0.2078 0.0522 0.6540
La4 0.5733 0.3650 0.7300
La5 0.2078 0.6018 0.6540
Y1 0.1787 0.0910 0.1819
Sc1 0.5000 0.0000 0.0000
La6 0.4267 0.6350 0.2700
Y2 0.8213 0.9090 0.8181

Summary:
DFT formation energy = 0.19 eV per atom
magnetization = 0.000 μB per formula unit

=====

No. 16
DFT (PBE-GGA) results for La2YHo4Sc after structural relaxation.

Unit cell a=9.4398 b=9.4398 c=11.8057 alpha=128.70 beta=128.70 gamma=87.82
Site moments in Bohr magnetons follow the coordinates.
Atoms (fractional coordinates):
La1 0.5000 0.5000 0.0000  0.07
Sc1 0.5000 0.5000 0.5000  0.07
La2 0.5000 0.0000 0.5000  0.06
Y1 0.0000 0.5000 0.0000  0.03
Ho1 0.2355 0.7648 0.0003  0.07
Ho2 0.2648 0.7355 0.5003  0.07
Ho3 0.7506 0.7507 0.5190  0.06
Ho4 0.7493 0.7494 0.9810  0.06
Y2 0.0000 0.5000 0.5000  0.03
Ho5 0.7645 0.2352 0.9997  0.07
Ho6 0.2494 0.2494 0.4810  0.06
Ho7 0.7352 0.2645 0.4997  0.07
La3 0.0000 0.0000 0.5000  0.07
Ho8 0.2506 0.2506 0.0190  0.06
La4 0.5000 0.0000 0.0000  0.06
Sc2 0.0000 0.0000 0.0000  0.07

Summary:
DFT formation energy = 0.41 eV per atom
magnetization = 0.703 μB per formula unit

=====

No. 17
DFT (PBE-GGA) results for LaHoZrSc after structural relaxation.

Unit cell a=5.4186 b=5.4186 c=5.4186 alpha=60.00 beta=60.00 gamma=60.00
Atoms (fractional coordinates):
La1 0.2500 0.2500 0.2500
Ho1 0.5000 0.5000 0.5000
Sc1 0.0000 0.0000 0.0000
Zr1 0.7500 0.7500 0.7500

Summary:
DFT formation energy = 0.18 eV per atom
magnetization = 0.001 μB per formula unit

=====

No. 18
DFT (PBE-GGA) results for LaHoSe after structural relaxation.

Unit cell a=5.7720 b=6.4968 c=5.7720 alpha=67.94 beta=81.11 gamma=112.06
Atoms (fractional coordinates):
La1 0.7824 0.5001 0.2176
Ho1 0.7826 0.0000 0.7173
Se1 0.2825 0.0000 0.7175
Ho2 0.2827 0.0000 0.2174
Se2 0.7826 0.0000 0.2174
La2 0.2823 0.4999 0.7177

Summary:
E_form (uncorrected) = -260 kJ/mol of formula units
energy above the lowest structure with this stoichiometry = 0.59 eV/f.u.
magnetization = 0.000 μB per formula unit

=====

No. 19
DFT (PBE-GGA) results for La2Ho2Se7 after structural relaxation.

Unit cell a=4.1489 b=9.0142 c=9.0142 alpha=61.41 beta=76.70 gamma=76.70
Atoms (fractional coordinates):
Ho1 0.5000 0.3301 0.6699
Se1 0.8259 0.0686 0.2797
Se2 0.5000 0.0001 0.9999
La1 0.7432 0.8502 0.6634
Se3 0.8660 0.4164 0.8515
Ho2 0.0000 0.7738 0.2262
Se4 0.1340 0.1485 0.5836
Se5 0.3944 0.7103 0.5010
Se6 0.6056 0.4990 0.2897
Se7 0.1741 0.7203 0.9314
La2 0.2568 0.3366 0.1498

Summary:
E_form (uncorrected) = -1788 kJ/mol of formula units
magnetization = 0.000 μB per formula unit

=====

No. 20
DFT (PBE-GGA) results for La2Ho3Se8 after structural relaxation.

Unit cell a=7.0629 b=8.3744 c=8.4154 alpha=119.84 beta=106.79 gamma=90.00
Atoms (fractional coordinates):
Se1 0.4099 0.8841 0.2363
Se2 0.9359 0.6214 0.2428
Se3 0.5901 0.6479 0.7637
Ho1 0.0000 0.7390 0.0000
Ho2 0.5000 0.0000 0.0000
Ho3 0.0000 0.2610 0.0000
Se4 0.4099 0.3521 0.2363
La1 0.3392 0.2624 0.5248
La2 0.6608 0.7376 0.4752
Se5 0.0807 0.8872 0.7744
Se6 0.5901 0.1159 0.7637
Se7 0.9193 0.1128 0.2256
Se8 0.0641 0.3786 0.7572

Summary:
E_form (uncorrected) = -2242 kJ/mol of formula units
magnetization = 0.000 μB per formula unit

=====

No. 21
DFT (PBE-GGA) results for LaHo3Se6 after structural relaxation.

Unit cell a=4.1602 b=11.6249 c=11.9080 alpha=109.14 beta=90.00 gamma=90.00
Atoms (fractional coordinates):
La1 0.2500 0.9508 0.3042
Se1 0.7500 0.4805 0.6134
Se2 0.7500 0.8020 0.7500
Ho1 0.7500 0.4423 0.8341
Se3 0.7500 0.3920 0.0572
Se4 0.2500 0.2659 0.7287
La2 0.7500 0.0492 0.6958
Se5 0.7500 0.7341 0.2713
Ho2 0.2500 0.5577 0.1659
Se6 0.2500 0.5195 0.3866
Se7 0.2500 0.8801 0.5353
Ho3 0.2500 0.3202 0.5004
Se8 0.2500 0.1980 0.2500
Ho4 0.7500 0.6798 0.4996
Se9 0.2500 0.6080 0.9428
Se10 0.7500 0.1199 0.4647
Ho5 0.7500 0.1589 0.0870
Se11 0.7500 0.9162 0.0928
Ho6 0.2500 0.8411 0.9130
Se12 0.2500 0.0838 0.9072

Summary:
E_form (uncorrected) = -1860 kJ/mol of formula units
magnetization = 0.000 μB per formula unit